[1]
{
  "formula": "I5Br",
  "functional": "PBE",
  "state": "optimized geometry",
  "spacegroup": "Cm (8)",
  "magmom_total_mub_per_fu": 0.00,
  "formation_energy_uncorrected_ev_per_atom": 0.00,
  "volume_a3_per_cell": 446,
  "energy_ev_per_atom": -1.5705,
  "lattice": [[4.593, -4.271, 0.000], [4.593, 4.271, 0.000], [-1.926, 0.000, 11.361]],
  "species": ["I", "I", "I", "I", "I", "Br"],
  "fractional_positions": [[0.000, 0.000, 0.000], [0.505, 0.505, 0.245], [0.748, 0.748, 0.815], [0.807, 0.807, 0.573], [0.820, 0.820, 0.320], [0.198, 0.198, 0.211]]
}

***

[2]
{
  "formula": "IBr",
  "functional": "PBE",
  "state": "optimized geometry",
  "spacegroup": "P4_2/mnm (136)",
  "magmom_total_mub_per_fu": 0.00,
  "formation_energy_uncorrected_ev_per_atom": 0.05,
  "de_polymorph_ev_per_atom": 0.097,
  "volume_a3_per_cell": 507,
  "energy_ev_per_atom": -1.5625,
  "lattice": [[9.814, 0.000, 0.000], [0.000, 9.814, 0.000], [0.000, 0.000, 5.265]],
  "species": ["I", "I", "I", "I", "Br", "Br", "Br", "Br"],
  "fractional_positions": [[0.157, 0.157, 0.000], [0.343, 0.657, 0.500], [0.657, 0.343, 0.500], [0.843, 0.843, 0.000], [0.213, 0.213, 0.500], [0.287, 0.713, 0.000], [0.713, 0.287, 0.000], [0.787, 0.787, 0.500]]
}